No. 1
First-principles (GGA-PBE) data for a geometry-optimized Pr3MgCd2Pt2Au structure, as listed in the Open Quantum Materials Database.

a b c (Å): 4.0974 13.4950 7.7510
angles (deg): 90.00 90.00 90.00
Closest atoms and distances in Å follow each position.
Space group Amm2 (No. 38)
Unique sites:
Pr  0.0000  0.0000  0.0000 [2 per cell]  4 Pt 3.09, 1 Au 3.29, 2 Mg 3.35, 4 Cd 3.45
Pr  0.0000  0.2091  0.3873 [4 per cell]  4 Pt 3.09-3.16, 1 Au 3.18, 2 Cd 3.29
Mg  0.5000  0.0000  0.3421 [2 per cell]  2 Au 2.73, 2 Pt 2.87
Cd  0.5000  0.1270  0.7180 [4 per cell]  2 Au 2.89, 2 Pt 2.99-3.00
Pt  0.5000  0.1616  0.1009 [4 per cell]  1 Mg 2.87, 2 Cd 2.99-3.00, 6 Pr 3.09-3.16
Au  0.0000  0.0000  0.5753 [2 per cell]  2 Mg 2.73, 4 Cd 2.89

***

No. 2
First-principles (GGA-PBE) data for a geometry-optimized Y2NiPt structure, as listed in the Open Quantum Materials Database.

a b c (Å): 5.5408 4.2916 7.6585
angles (deg): 90.00 110.28 90.00
Closest atoms and distances in Å follow each position.
Space group P2_1/m (No. 11)
Unique sites:
Y  0.2172  0.2500  0.4302 [2 per cell]  4 Ni 2.92-2.98, 3 Pt 2.95-2.96
Y  0.2201  0.2500  0.9294 [2 per cell]  4 Pt 2.95-2.96, 3 Ni 2.95-2.98
Ni  0.3439  0.7500  0.7095 [2 per cell]  2 Pt 2.68, 7 Y 2.92-2.98
Pt  0.3466  0.7500  0.2127 [2 per cell]  2 Ni 2.68, 7 Y 2.95-2.96

## Properties
The calculation puts the energy of formation at -0.856 eV/atom.

***

No. 3
First-principles (GGA-PBE) data for a geometry-optimized Tm2CoNiGe4 structure, as listed in the Open Quantum Materials Database.

a b c (Å): 4.1109 4.0365 16.7792
angles (deg): 90.00 90.00 90.00
Closest atoms and distances in Å follow each position.
Space group Amm2 (No. 38)
Unique sites:
Tm  0.0000  0.0000  0.0000 [2 per cell]  10 Ge 3.07-3.21, 4 Co 3.12
Tm  0.5000  0.0000  0.2180 [2 per cell]  4 Ni 3.08, 10 Ge 3.09-3.28
Co  0.5000  0.0000  0.4291 [2 per cell]  5 Ge 2.26-2.36
Ni  0.0000  0.0000  0.7838 [2 per cell]  5 Ge 2.27-2.40
Ge  0.0000  0.0000  0.3601 [2 per cell]  2 Co 2.36, 2 Ni 2.39
Ge  0.0000  0.0000  0.6487 [2 per cell]  1 Ni 2.27, 2 Ge 2.50
Ge  0.5000  0.0000  0.5636 [2 per cell]  1 Co 2.26, 2 Ge 2.50
Ge  0.5000  0.0000  0.8577 [2 per cell]  2 Co 2.35, 2 Ni 2.40

***

No. 4
First-principles (GGA-PBE) data for a geometry-optimized DyHoI3N structure, as listed in the Open Quantum Materials Database.

a b c (Å): 19.4231 3.9718 12.2361
angles (deg): 90.00 125.01 90.00
Closest atoms and distances in Å follow each position.
Space group C2/m (No. 12)
Unique sites:
Dy  0.1295  0.0000  0.2715 [4 per cell]  2 N 2.36
Ho  0.0687  0.5000  0.9618 [4 per cell]  2 N 2.24
I  0.0394  0.0000  0.7438 [4 per cell]  2 Ho 3.10, 1 Dy 3.18
I  0.1675  0.5000  0.5088 [4 per cell]  3 Dy 3.23-3.26
I  0.2176  0.0000  0.1195 [4 per cell]  2 Ho 3.10, 1 Dy 3.17
N  0.0713  0.5000  0.1475 [4 per cell]  2 Ho 2.24, 2 Dy 2.36

***

No. 5
First-principles (GGA-PBE) data for a geometry-optimized Co2BPd structure, as listed in the Open Quantum Materials Database.

a b c (Å): 5.5486 5.5486 5.5486
angles (deg): 90.00 90.00 90.00
Closest atoms and distances in Å follow each position.
Space group F-43m (No. 216)
Unique sites:
Co  0.0000  0.0000  0.0000 [4 per cell]  4 Co 2.40, 4 B 2.40
Co  0.2500  0.2500  0.2500 [4 per cell]  4 Pd 2.40, 4 Co 2.40
B  0.2500  0.2500  0.7500 [4 per cell]  4 Co 2.40, 4 Pd 2.40
Pd  0.0000  0.0000  0.5000 [4 per cell]  4 B 2.40, 4 Co 2.40

***

No. 6
First-principles (GGA-PBE) data for a geometry-optimized LiCuMoSe3 structure, as listed in the Open Quantum Materials Database.

a b c (Å): 3.4896 12.9286 9.7177
angles (deg): 90.00 90.00 90.00
Closest atoms and distances in Å follow each position.
Space group Cmcm (No. 63)
Unique sites:
Li  0.0000  0.2259  0.2500 [4 per cell]  6 Se 2.80-2.91, 2 Cu 3.01
Cu  0.0000  0.4643  0.7500 [4 per cell]  4 Se 2.37-2.42
Mo  0.0000  0.0000  0.0000 [4 per cell]  6 Se 2.60-2.72
Se  0.0000  0.0940  0.7500 [4 per cell]  2 Cu 2.42
Se  0.0000  0.3563  0.5526 [8 per cell]  1 Cu 2.37, 2 Mo 2.60

***

What did we get for VASP energy? Answer: -80.58, -55.95, -90.25, -123.81, -97.90, -117.98 eV/cell, in the order shown.